BeReAg2 | PBEsol | relaxed

Structure (CIF):
```
data_BeReAg2
_chemical_formula_sum 'Be1 Re1 Ag2'
_cell_length_a 3.642
_cell_length_b 3.642
_cell_length_c 4.276
_cell_angle_alpha 90.00
_cell_angle_beta 90.00
_cell_angle_gamma 90.00
_symmetry_space_group_name_H-M 'P 1'
_symmetry_Int_Tables_number 1
_symmetry_space_group_name_Hall 'P 1'
loop_
_atom_site_label
_atom_site_type_symbol
_atom_site_fract_x
_atom_site_fract_y
_atom_site_fract_z
Be1 Be 0.000 0.000 0.000
Re1 Re 0.500 0.500 0.000
Ag1 Ag 0.000 0.500 0.500
Ag2 Ag 0.500 0.000 0.500
```

Results
Total energy in eV/atom: -5.321
DFT formation energy in kJ/mol of atoms: 64.37
Crystal system: tetragonal
Spin magnetization in μB per formula unit: 0.00